# TaAlSi2 (PBE-GGA, relaxed)
data_TaAlSi2
_space_group_name_H-M_alt 'P 1'
_space_group_IT_number 1
_cell_length_a 8.1422
_cell_length_b 8.1422
_cell_length_c 8.1422
_cell_angle_alpha 21.52
_cell_angle_beta 21.52
_cell_angle_gamma 21.52
loop_
_space_group_symop_operation_xyz
'x,y,z'
loop_
_atom_site_label
_atom_site_type_symbol
_atom_site_fract_x
_atom_site_fract_y
_atom_site_fract_z
_atom_site_occupancy
Si1 Si 0.0015 0.0015 0.0015 1
Si2 Si 0.4985 0.4985 0.4985 1
Al1 Al 0.7500 0.7500 0.7500 1
Ta1 Ta 0.2500 0.2500 0.2500 1
# Total magnetic moment = 0.0 μB per formula unit
# Calculated density = 6.89 g cm⁻³
# Formation energy without anion corrections = 0.050 eV/atom